No. 1
Density functional theory data (PBE) for a relaxed structure of LaDyCoAu.

As for the space group: F-43m. Its formation energy is -0.353 eV/atom. Its crystal system is cubic. The size of the total moment comes out at 0.46 μB/f.u. As for the total energy: -5.332 eV/atom. The density of states at the Fermi level is 15.73 states/eV per cell.

Cell: 7.162 7.162 7.162 Å, 90.00 90.00 90.00°
Atoms (fractional coordinates):
La  0.000  0.000  0.000
La  0.000  0.500  0.500
La  0.500  0.000  0.500
La  0.500  0.500  0.000
Dy  0.000  0.000  0.500
Dy  0.000  0.500  0.000
Dy  0.500  0.000  0.000
Dy  0.500  0.500  0.500
Co  0.250  0.250  0.250
Co  0.250  0.750  0.750
Co  0.750  0.250  0.750
Co  0.750  0.750  0.250
Au  0.250  0.250  0.750
Au  0.250  0.750  0.250
Au  0.750  0.250  0.250
Au  0.750  0.750  0.750

No. 2
Density functional theory data (PBE) for a relaxed structure of DyLuCoAu.

As for the space group: F-43m. Its formation energy is -0.475 eV/atom. Its crystal system is cubic. The size of the total moment comes out at 0.47 μB/f.u. As for the total energy: -5.351 eV/atom. The density of states at the Fermi level is 11.87 states/eV per cell.

Cell: 6.897 6.897 6.897 Å, 90.00 90.00 90.00°
Atoms (fractional coordinates):
Dy  0.000  0.000  0.000
Dy  0.000  0.500  0.500
Dy  0.500  0.000  0.500
Dy  0.500  0.500  0.000
Lu  0.000  0.000  0.500
Lu  0.000  0.500  0.000
Lu  0.500  0.000  0.000
Lu  0.500  0.500  0.500
Co  0.250  0.250  0.250
Co  0.250  0.750  0.750
Co  0.750  0.250  0.750
Co  0.750  0.750  0.250
Au  0.250  0.250  0.750
Au  0.250  0.750  0.250
Au  0.750  0.250  0.250
Au  0.750  0.750  0.750

No. 3
Density functional theory data (PBE) for a relaxed structure of DyMgCoAu.

As for the space group: F-43m. Its formation energy is -0.315 eV/atom. Its crystal system is cubic. The size of the total moment comes out at 0.77 μB/f.u. As for the total energy: -4.460 eV/atom. The density of states at the Fermi level is 8.25 states/eV per cell.

Cell: 6.716 6.716 6.716 Å, 90.00 90.00 90.00°
Atoms (fractional coordinates):
Dy  0.000  0.000  0.000
Dy  0.000  0.500  0.500
Dy  0.500  0.000  0.500
Dy  0.500  0.500  0.000
Mg  0.000  0.000  0.500
Mg  0.000  0.500  0.000
Mg  0.500  0.000  0.000
Mg  0.500  0.500  0.500
Co  0.250  0.250  0.250
Co  0.250  0.750  0.750
Co  0.750  0.250  0.750
Co  0.750  0.750  0.250
Au  0.250  0.250  0.750
Au  0.250  0.750  0.250
Au  0.750  0.250  0.250
Au  0.750  0.750  0.750

No. 4
Density functional theory data (PBE) for a relaxed structure of NdDyCoAu.

As for the space group: F-43m. Its formation energy is -0.362 eV/atom. Its crystal system is cubic. The size of the total moment comes out at 0.56 μB/f.u. As for the total energy: -5.300 eV/atom. The density of states at the Fermi level is 13.14 states/eV per cell.

Cell: 7.103 7.103 7.103 Å, 90.00 90.00 90.00°
Atoms (fractional coordinates):
Nd  0.000  0.000  0.000
Nd  0.000  0.500  0.500
Nd  0.500  0.000  0.500
Nd  0.500  0.500  0.000
Dy  0.000  0.000  0.500
Dy  0.000  0.500  0.000
Dy  0.500  0.000  0.000
Dy  0.500  0.500  0.500
Co  0.250  0.250  0.750
Co  0.250  0.750  0.250
Co  0.750  0.250  0.250
Co  0.750  0.750  0.750
Au  0.250  0.250  0.250
Au  0.250  0.750  0.750
Au  0.750  0.250  0.750
Au  0.750  0.750  0.250

No. 5
Density functional theory data (PBE) for a relaxed structure of PmDyCoAu.

As for the space group: F-43m. Its formation energy is -0.381 eV/atom. Its crystal system is cubic. The size of the total moment comes out at 0.55 μB/f.u. As for the total energy: -5.315 eV/atom. The density of states at the Fermi level is 12.83 states/eV per cell.

Cell: 7.074 7.074 7.074 Å, 90.00 90.00 90.00°
Atoms (fractional coordinates):
Pm  0.000  0.000  0.000
Pm  0.000  0.500  0.500
Pm  0.500  0.000  0.500
Pm  0.500  0.500  0.000
Dy  0.000  0.000  0.500
Dy  0.000  0.500  0.000
Dy  0.500  0.000  0.000
Dy  0.500  0.500  0.500
Co  0.250  0.250  0.750
Co  0.250  0.750  0.250
Co  0.750  0.250  0.250
Co  0.750  0.750  0.750
Au  0.250  0.250  0.250
Au  0.250  0.750  0.750
Au  0.750  0.250  0.750
Au  0.750  0.750  0.250

No. 6
Density functional theory data (PBE) for a relaxed structure of DyScCoAu.

As for the space group: F-43m. Its formation energy is -0.452 eV/atom. Its crystal system is cubic. The size of the total moment comes out at 0.46 μB/f.u. As for the total energy: -5.781 eV/atom. The density of states at the Fermi level is 12.15 states/eV per cell.

Cell: 6.780 6.780 6.780 Å, 90.00 90.00 90.00°
Atoms (fractional coordinates):
Dy  0.000  0.000  0.000
Dy  0.000  0.500  0.500
Dy  0.500  0.000  0.500
Dy  0.500  0.500  0.000
Sc  0.000  0.000  0.500
Sc  0.000  0.500  0.000
Sc  0.500  0.000  0.000
Sc  0.500  0.500  0.500
Co  0.250  0.250  0.250
Co  0.250  0.750  0.750
Co  0.750  0.250  0.750
Co  0.750  0.750  0.250
Au  0.250  0.250  0.750
Au  0.250  0.750  0.250
Au  0.750  0.250  0.250
Au  0.750  0.750  0.750

No. 7
Density functional theory data (PBE) for a relaxed structure of SmDyCoAu.

As for the space group: F-43m. Its formation energy is -0.392 eV/atom. Its crystal system is cubic. The size of the total moment comes out at 0.54 μB/f.u. As for the total energy: -5.319 eV/atom. The density of states at the Fermi level is 12.78 states/eV per cell.

Cell: 7.054 7.054 7.054 Å, 90.00 90.00 90.00°
Atoms (fractional coordinates):
Sm  0.000  0.000  0.000
Sm  0.000  0.500  0.500
Sm  0.500  0.000  0.500
Sm  0.500  0.500  0.000
Dy  0.000  0.000  0.500
Dy  0.000  0.500  0.000
Dy  0.500  0.000  0.000
Dy  0.500  0.500  0.500
Co  0.250  0.250  0.750
Co  0.250  0.750  0.250
Co  0.750  0.250  0.250
Co  0.750  0.750  0.750
Au  0.250  0.250  0.250
Au  0.250  0.750  0.750
Au  0.750  0.250  0.750
Au  0.750  0.750  0.250

No. 8
Density functional theory data (PBE) for a relaxed structure of Er5CoAu2.

As for the space group: Pbam. Its formation energy is -0.550 eV/atom. Its crystal system is orthorhombic. The size of the total moment comes out at 0.00 μB/f.u. As for the total energy: -5.109 eV/atom. The density of states at the Fermi level is 13.29 states/eV per cell.

Cell: 8.467 11.593 4.007 Å, 90.00 90.00 90.00°
Atoms (fractional coordinates):
Er  0.000  0.000  0.000
Er  0.151  0.305  0.000
Er  0.175  0.579  0.500
Er  0.325  0.079  0.500
Er  0.349  0.805  0.000
Er  0.500  0.500  0.000
Er  0.651  0.195  0.000
Er  0.675  0.921  0.500
Er  0.825  0.421  0.500
Er  0.849  0.695  0.000
Co  0.000  0.500  0.000
Co  0.500  0.000  0.000
Au  0.063  0.824  0.500
Au  0.437  0.324  0.500
Au  0.563  0.676  0.500
Au  0.937  0.176  0.500

No. 9
Density functional theory data (PBE) for a relaxed structure of ErCoAu.

As for the space group: C2/m. Its formation energy is -0.443 eV/atom. Its crystal system is monoclinic. The size of the total moment comes out at 0.77 μB/f.u. As for the total energy: -5.425 eV/atom. The density of states at the Fermi level is 10.13 states/eV per cell.

Cell: 12.274 3.920 4.846 Å, 90.00 101.18 90.00°
Atoms (fractional coordinates):
Er  0.120  0.000  0.320
Er  0.380  0.500  0.680
Er  0.620  0.500  0.320
Er  0.880  0.000  0.680
Co  0.230  0.000  0.889
Co  0.270  0.500  0.111
Co  0.730  0.500  0.889
Co  0.770  0.000  0.111
Au  0.078  0.500  0.771
Au  0.422  0.000  0.229
Au  0.578  0.000  0.771
Au  0.922  0.500  0.229

No. 10
Density functional theory data (PBE) for a relaxed structure of Er2Co2Au.

As for the space group: Cmmm. Its formation energy is -0.464 eV/atom. Its crystal system is orthorhombic. The size of the total moment comes out at 0.00 μB/f.u. As for the total energy: -5.787 eV/atom. The density of states at the Fermi level is 8.44 states/eV per cell.

Cell: 3.730 13.297 3.785 Å, 90.00 90.00 90.00°
Atoms (fractional coordinates):
Er  0.000  0.133  0.000
Er  0.000  0.867  0.000
Er  0.500  0.367  0.000
Er  0.500  0.633  0.000
Co  0.000  0.296  0.500
Co  0.000  0.704  0.500
Co  0.500  0.204  0.500
Co  0.500  0.796  0.500
Au  0.000  0.500  0.500
Au  0.500  0.000  0.500

No. 11
Density functional theory data (PBE) for a relaxed structure of Er8Co2Au.

As for the space group: Cm. Its formation energy is -0.186 eV/atom. Its crystal system is monoclinic. The size of the total moment comes out at 0.00 μB/f.u. As for the total energy: -5.095 eV/atom. The density of states at the Fermi level is 11.92 states/eV per cell.

Cell: 7.582 7.582 5.402 Å, 98.24 98.24 113.09°
Atoms (fractional coordinates):
Er  0.000  0.000  0.000
Er  0.042  0.305  0.606
Er  0.136  0.612  0.191
Er  0.305  0.042  0.606
Er  0.444  0.706  0.777
Er  0.612  0.136  0.191
Er  0.706  0.444  0.777
Er  0.751  0.751  0.384
Co  0.069  0.681  0.692
Co  0.681  0.069  0.692
Au  0.376  0.376  0.172

No. 12
Density functional theory data (PBE) for a relaxed structure of Er7Co2Au2.

As for the space group: Cmmm. Its formation energy is -0.321 eV/atom. Its crystal system is orthorhombic. The size of the total moment comes out at 0.00 μB/f.u. As for the total energy: -5.113 eV/atom. The density of states at the Fermi level is 9.17 states/eV per cell.

Cell: 6.530 6.530 6.833 Å, 90.00 90.00 109.05°
Atoms (fractional coordinates):
Er  0.000  0.000  0.000
Er  0.000  0.500  0.250
Er  0.000  0.500  0.750
Er  0.500  0.000  0.250
Er  0.500  0.000  0.750
Er  0.500  0.500  0.242
Er  0.500  0.500  0.758
Co  0.292  0.708  0.000
Co  0.708  0.292  0.000
Au  0.188  0.188  0.500
Au  0.812  0.812  0.500